Here is an optimized crystal structure of TmTh2Ga3Ir4 from Alexandria. Energies are from GGA-PBE.

Output
- Energy relative to the elements: -7.7 eV per formula unit

a b c (Å): 4.2115 4.2115 11.2776
angles (deg): 90.00 90.00 90.00
Space group P-4m2 (No. 115)
Inequivalent atoms, fractional coordinates:
Tm 0.0000 0.0000 0.0000 [1 per cell]
Th 0.0000 0.5000 0.7241 [2 per cell]
Ga 0.0000 0.5000 0.3805 [2 per cell]
Ga 0.5000 0.5000 0.0000 [1 per cell]
Ir 0.0000 0.0000 0.5000 [1 per cell]
Ir 0.0000 0.5000 0.1593 [2 per cell]
Ir 0.5000 0.5000 0.5000 [1 per cell]



Here is an optimized crystal structure of Ac2Sb4PtRh3 from Alexandria. Energies are from GGA-PBE.

Output
- Energy relative to the elements, uncorrected: -865 meV/atom

a b c (Å): 4.6981 4.6981 10.4825
angles (deg): 90.00 90.00 90.00
Space group P-4m2 (No. 115)
Inequivalent atoms, fractional coordinates:
Ac 0.0000 0.5000 0.2440 [2 per cell]
Sb 0.0000 0.0000 0.5000 [1 per cell]
Sb 0.0000 0.5000 0.8697 [2 per cell]
Sb 0.5000 0.5000 0.5000 [1 per cell]
Pt 0.5000 0.5000 0.0000 [1 per cell]
Rh 0.0000 0.0000 0.0000 [1 per cell]
Rh 0.0000 0.5000 0.6191 [2 per cell]



Here is an optimized crystal structure of Zn2AgAu from Alexandria. Energies are from GGA-PBE.

Output
- E above lowest polymorph: 61 meV/atom
- Energy relative to the elements: -0.3 eV per formula unit

a b c (Å): 3.2017 3.2017 6.3625
angles (deg): 90.00 90.00 90.00
Space group P4mm (No. 99)
Inequivalent atoms, fractional coordinates:
Zn 0.0000 0.0000 0.0000 [1 per cell]
Zn 0.5000 0.5000 0.2354 [1 per cell]
Ag 0.0000 0.0000 0.4728 [1 per cell]
Au 0.5000 0.5000 0.7698 [1 per cell]



Here is an optimized crystal structure of Pu2OsC2 from Alexandria. Energies are from GGA-PBE.

Output
- E above lowest polymorph: 31 meV/atom
- Energy relative to the elements: -0.2 eV per formula unit

a b c (Å): 10.8009 5.1094 6.4676
angles (deg): 90.00 118.28 90.00
Space group C2/m (No. 12)
Inequivalent atoms, fractional coordinates:
Pu 0.0294 0.0000 0.2893 [4 per cell]
Pu 0.1868 0.5000 0.1363 [4 per cell]
Os 0.1413 0.5000 0.6253 [4 per cell]
C 0.0048 0.5000 0.2660 [4 per cell]
C 0.1705 0.0000 0.0900 [4 per cell]



Here is an optimized crystal structure of CaCd2Ag2Hg2 from Alexandria. Energies are from GGA-PBE.

Output
- Energy relative to the elements: -1.2 eV per formula unit

a b c (Å): 4.8691 4.8691 24.3075
angles (deg): 90.00 90.00 120.00
Space group R-3m (No. 166, hexagonal axes)
Inequivalent atoms, fractional coordinates:
Ca 0.0000 0.0000 0.0000 [3 per cell]
Cd 0.0000 0.0000 0.1335 [6 per cell]
Ag 0.0000 0.0000 0.2517 [6 per cell]
Hg 0.0000 0.0000 0.3989 [6 per cell]



Here is an optimized crystal structure of SrSb2TePb from Alexandria. Energies are from GGA-PBE.

Output
- E above lowest polymorph: 0 meV/atom
- Energy relative to the elements, uncorrected: 118 meV/atom

a b c (Å): 5.7978 5.7978 5.9370
angles (deg): 90.00 90.00 90.00
Space group P4/mmm (No. 123)
Inequivalent atoms, fractional coordinates:
Sr 0.0000 0.0000 0.0000 [1 per cell]
Sb 0.0000 0.5000 0.5000 [2 per cell]
Te 0.5000 0.5000 0.0000 [1 per cell]
Pb 0.5000 0.5000 0.5000 [1 per cell]



| no. | total magnetic moment (μB per formula unit) |
| --- | --- |
| 1 | 0.0 |
| 2 | 0.0 |
| 3 | 0.0 |
| 4 | 0.4 |
| 5 | 0.0 |
| 6 | 0.0 |